No. 1
Entry from the Alexandria database: an optimized crystal structure of Th2CoSb (GGA-PBE).

* space group: R-3m
* DFT total energy: -0.484 Ry/atom
* formation energy (no corrections): -1.6 kcal/mol of atoms
* total moment: 0.000 μB per formula unit

The structure in POSCAR format:
```
Th2CoSb
1.0
1.9506 1.1262 9.4165
-1.9506 1.1262 9.4165
0.0000 -2.2523 9.4165
Th Co Sb
2 1 1
Direct
0.1128 0.1128 0.1128
0.8872 0.8872 0.8872
0.5000 0.5000 0.5000
0.0000 0.0000 0.0000
```


No. 2
Entry from the Alexandria database: an optimized crystal structure of LiInSnHg2 (GGA-PBE).

* space group: P3m1
* energy of formation: -38 kJ/mol of formula units
* DFT total energy: -0.142 Ry/atom
* total moment: 0.000 μB per formula unit

The structure in POSCAR format:
```
LiInSnHg2
1.0
4.8245 0.0000 0.0000
-2.4122 4.1781 0.0000
0.0000 0.0000 6.4726
Li In Sn Hg
1 1 1 2
Direct
0.0000 0.0000 0.0000
0.6667 0.3333 0.3100
0.3333 0.6667 0.6835
0.0000 0.0000 0.5404
0.3333 0.6667 0.1385
```


No. 3
Entry from the Alexandria database: an optimized crystal structure of Nd12Mg3Sc (GGA-PBE).

* space group: P4/mmm
* energy of formation: 7 kJ/mol of formula units
* DFT total energy: -0.314 Ry/atom
* total moment: 0.000 μB per formula unit

The structure in POSCAR format:
```
Nd12Mg3Sc
1.0
5.0354 0.0000 0.0000
0.0000 5.0354 0.0000
0.0000 0.0000 20.2871
Nd Mg Sc
12 3 1
Direct
0.0000 0.0000 0.0000
0.0000 0.0000 0.2504
0.0000 0.0000 0.5000
0.0000 0.0000 0.7496
0.0000 0.5000 0.1245
0.0000 0.5000 0.3753
0.0000 0.5000 0.6247
0.0000 0.5000 0.8755
0.5000 0.0000 0.1245
0.5000 0.0000 0.3753
0.5000 0.0000 0.6247
0.5000 0.0000 0.8755
0.5000 0.5000 0.2519
0.5000 0.5000 0.5000
0.5000 0.5000 0.7481
0.5000 0.5000 0.0000
```


No. 4
Entry from the Alexandria database: an optimized crystal structure of LaThRhAu (GGA-PBE).

* space group: R3m
* energy of formation: -297 kJ/mol of formula units
* DFT total energy: -0.479 Ry/atom
* total moment: 0.000 μB per formula unit
* distance to the lowest polymorph of the same formula: 0.000 eV per atom

The structure in POSCAR format:
```
LaThRhAu
1.0
2.0835 1.2029 7.3106
-2.0835 1.2029 7.3106
0.0000 -2.4058 7.3106
La Th Rh Au
1 1 1 1
Direct
0.0000 0.0000 0.0000
0.8138 0.8138 0.8138
0.4113 0.4113 0.4113
0.2375 0.2375 0.2375
```


No. 5
Entry from the Alexandria database: an optimized crystal structure of Tb4AlCd2 (GGA-PBE).

* space group: R-3m
* energy of formation: -109 kJ/mol of formula units
* DFT total energy: -0.265 Ry/atom
* total moment: 0.007 μB per formula unit

The structure in POSCAR format:
```
Tb4AlCd2
1.0
2.5983 1.5001 8.4058
-2.5983 1.5001 8.4058
0.0000 -3.0002 8.4058
Tb Al Cd
4 1 2
Direct
0.1212 0.1212 0.1212
0.3734 0.3734 0.3734
0.6266 0.6266 0.6266
0.8788 0.8788 0.8788
0.5000 0.5000 0.5000
0.2470 0.2470 0.2470
0.7530 0.7530 0.7530
```


No. 6
Entry from the Alexandria database: an optimized crystal structure of Ac2RuC2 (GGA-PBE).

* space group: C2/c
* energy of formation: 142 kJ/mol of formula units
* DFT total energy: -0.507 Ry/atom
* total moment: 0.000 μB per formula unit

The structure in POSCAR format:
```
Ac2RuC2
1.0
5.5304 -2.8327 0.0000
5.5304 2.8327 0.0000
-2.0934 0.0000 6.1230
Ac Ru C
4 2 4
Direct
0.0189 0.2852 0.1942
0.2852 0.0189 0.6942
0.7148 0.9811 0.3058
0.9811 0.7148 0.8058
0.4213 0.5787 0.2500
0.5787 0.4213 0.7500
0.2516 0.5666 0.4806
0.4334 0.7484 0.0194
0.5666 0.2516 0.9806
0.7484 0.4334 0.5194
```


No. 7
Entry from the Alexandria database: an optimized crystal structure of RbU2I8 (GGA-PBE).

* space group: C2/m
* DFT total energy: -0.299 Ry/atom
* formation energy (no corrections): -18.4 kcal/mol of atoms
* total moment: 5.000 μB per formula unit
* distance to the lowest polymorph of the same formula: 0.029 eV per atom

The structure in POSCAR format:
```
RbU2I8
1.0
8.2951 -4.4850 0.0000
8.2951 4.4850 0.0000
-2.4021 0.0000 9.1180
Rb U I
1 2 8
Direct
0.0000 0.0000 0.0000
0.1900 0.1900 0.6645
0.8100 0.8100 0.3355
0.1465 0.6537 0.2434
0.1811 0.1811 0.3480
0.3463 0.8535 0.7566
0.3651 0.3651 0.8235
0.6349 0.6349 0.1765
0.6537 0.1465 0.2434
0.8189 0.8189 0.6520
0.8535 0.3463 0.7566
```


No. 8
Entry from the Alexandria database: an optimized crystal structure of ZrTcSb2 (GGA-PBE).

* space group: C2/m
* DFT total energy: -0.505 Ry/atom
* formation energy (no corrections): -1.9 kcal/mol of atoms
* total moment: 0.000 μB per formula unit
* distance to the lowest polymorph of the same formula: 0.154 eV per atom

The structure in POSCAR format:
```
ZrTcSb2
1.0
4.1556 -1.6531 0.0000
4.1556 1.6531 0.0000
-1.2802 0.0000 6.1281
Zr Tc Sb
1 1 2
Direct
0.0000 0.0000 0.0000
0.5000 0.5000 0.5000
0.2424 0.2424 0.7152
0.7576 0.7576 0.2848
```


No. 9
Entry from the Alexandria database: an optimized crystal structure of BaGe2Br (GGA-PBE).

* space group: I-42d
* DFT total energy: -0.243 Ry/atom
* formation energy (no corrections): -2.3 kcal/mol of atoms
* total moment: 0.000 μB per formula unit
* distance to the lowest polymorph of the same formula: 0.000 eV per atom

The structure in POSCAR format:
```
BaGe2Br
1.0
-5.0949 5.0949 2.8803
5.0949 -5.0949 2.8803
5.0949 5.0949 -2.8803
Ba Ge Br
2 4 2
Direct
0.0000 0.0000 0.0000
0.7500 0.2500 0.5000
0.1337 0.1250 0.5087
0.3750 0.8663 0.9913
0.6163 0.6250 0.4913
0.8750 0.3837 0.0087
0.2500 0.7500 0.5000
0.5000 0.5000 0.0000
```


No. 10
Entry from the Alexandria database: an optimized crystal structure of Ba3Mg (GGA-PBE).

* space group: Immm
* energy of formation: 9 kJ/mol of formula units
* DFT total energy: -0.134 Ry/atom
* total moment: 0.002 μB per formula unit
* distance to the lowest polymorph of the same formula: 0.038 eV per atom

The structure in POSCAR format:
```
Ba3Mg
1.0
-2.2846 3.3286 6.8023
2.2846 -3.3286 6.8023
2.2846 3.3286 -6.8023
Ba Mg
3 1
Direct
0.0000 0.0000 0.0000
0.2858 0.7858 0.5000
0.7142 0.2142 0.5000
0.5000 0.5000 0.0000
```


No. 11
Entry from the Alexandria database: an optimized crystal structure of K2TlZnO4 (GGA-PBE).

* space group: I-42m
* DFT total energy: -0.305 Ry/atom
* formation energy (no corrections): -21.6 kcal/mol of atoms
* total moment: 1.030 μB per formula unit

The structure in POSCAR format:
```
K2TlZnO4
1.0
-3.3474 3.3474 3.0533
3.3474 -3.3474 3.0533
3.3474 3.3474 -3.0533
K Tl Zn O
2 1 1 4
Direct
0.0000 0.5000 0.5000
0.5000 0.0000 0.5000
0.0000 0.0000 0.0000
0.5000 0.5000 0.0000
0.1241 0.1241 0.6998
0.4243 0.4243 0.3002
0.5757 0.8759 0.0000
0.8759 0.5757 0.0000
```


No. 12
Entry from the Alexandria database: an optimized crystal structure of PrCuSi (GGA-PBE).

* space group: P-6m2
* DFT total energy: -0.393 Ry/atom
* formation energy (no corrections): -13.4 kcal/mol of atoms
* total moment: 0.283 μB per formula unit

The structure in POSCAR format:
```
PrCuSi
1.0
4.1277 0.0000 0.0000
-2.0639 3.5747 0.0000
0.0000 0.0000 4.2534
Pr Cu Si
1 1 1
Direct
0.0000 0.0000 0.0000
0.3333 0.6667 0.5000
0.6667 0.3333 0.5000
```